Entry 1:
Entry from Alexandria via LeMat-Bulk: a crystal of La2HgBi2 relaxed with PBEsol (SCAN).

Geometry as POSCAR:
```
La2HgBi2
1.0
8.658 0.000 0.000
0.000 8.658 0.000
0.000 0.000 4.259
La Hg Bi
4 2 4
direct
0.145 0.355 0.000 La
0.355 0.855 0.000 La
0.645 0.145 0.000 La
0.855 0.645 0.000 La
0.000 0.000 0.000 Hg
0.500 0.500 0.000 Hg
0.160 0.660 0.500 Bi
0.340 0.160 0.500 Bi
0.660 0.840 0.500 Bi
0.840 0.340 0.500 Bi
```

Results
Energy   -63.1928 eV/atom
Energy of formation from the pure elements   -0.89 eV per atom
Polymorph energy (0 for the lowest one)   0 meV per atom
DOS at the Fermi energy   0.4 states/eV/f.u.
Space-group type   No. 127


Entry 2:
Entry from Alexandria via LeMat-Bulk: a crystal of Li2Hg2Bi relaxed with PBEsol (SCAN).

Geometry as POSCAR:
```
Li2Hg2Bi
1.0
8.087 0.000 0.000
0.000 8.087 0.000
0.000 0.000 3.217
Li Hg Bi
4 4 2
direct
0.166 0.334 0.000 Li
0.334 0.834 0.000 Li
0.666 0.166 0.000 Li
0.834 0.666 0.000 Li
0.129 0.629 0.500 Hg
0.371 0.129 0.500 Hg
0.629 0.871 0.500 Hg
0.871 0.371 0.500 Hg
0.000 0.000 0.500 Bi
0.500 0.500 0.500 Bi
```

Results
Energy   -44.2959 eV/atom
Energy of formation from the pure elements   -0.36 eV per atom
DOS at the Fermi energy   1.9 states/eV/f.u.
Space-group type   No. 127


Entry 3:
Entry from Alexandria via LeMat-Bulk: a crystal of LiHgBi2 relaxed with PBEsol (SCAN).

Geometry as POSCAR:
```
LiHgBi2
1.0
-2.294 2.294 10.551
2.294 -2.294 10.551
2.294 2.294 -10.551
Li Hg Bi
2 2 4
direct
0.000 0.000 0.000 Li
0.750 0.250 0.500 Li
0.250 0.750 0.500 Hg
0.500 0.500 0.000 Hg
0.108 0.625 0.983 Bi
0.375 0.358 0.483 Bi
0.642 0.125 0.017 Bi
0.875 0.892 0.517 Bi
```

Results
Energy   -57.0504 eV/atom
Energy of formation from the pure elements   -0.12 eV per atom
DOS at the Fermi energy   1.4 states/eV/f.u.
Space-group type   No. 122


Entry 4:
Entry from Alexandria via LeMat-Bulk: a crystal of Mg2Hg2Bi relaxed with PBEsol (SCAN).

Geometry as POSCAR:
```
Mg2Hg2Bi
1.0
8.199 0.000 0.000
0.000 8.199 0.000
0.000 0.000 3.403
Mg Hg Bi
4 4 2
direct
0.167 0.333 0.000 Mg
0.333 0.833 0.000 Mg
0.667 0.167 0.000 Mg
0.833 0.667 0.000 Mg
0.130 0.630 0.500 Hg
0.370 0.130 0.500 Hg
0.630 0.870 0.500 Hg
0.870 0.370 0.500 Hg
0.000 0.000 0.500 Bi
0.500 0.500 0.500 Bi
```

Results
Energy   -45.1784 eV/atom
Energy of formation from the pure elements   -0.21 eV per atom
DOS at the Fermi energy   1.9 states/eV/f.u.
Space-group type   No. 127


Entry 5:
Entry from Alexandria via LeMat-Bulk: a crystal of MnHgBiPb2 relaxed with PBEsol (SCAN).

Geometry as POSCAR:
```
MnHgBiPb2
1.0
5.974 0.000 0.000
0.000 5.974 0.000
0.000 0.000 5.470
Mn Hg Bi Pb
1 1 1 2
direct
0.000 0.000 0.000 Mn
0.500 0.500 0.000 Hg
0.500 0.500 0.500 Bi
0.000 0.500 0.500 Pb
0.500 0.000 0.500 Pb
```

Results
Energy   -62.4788 eV/atom
Energy of formation from the pure elements   0.83 eV per atom
DOS at the Fermi energy   3.7 states/eV/f.u.
Space-group type   No. 123


Entry 6:
Entry from Alexandria via LeMat-Bulk: a crystal of Hg3BiMo relaxed with PBEsol (SCAN).

Geometry as POSCAR:
```
Hg3BiMo
1.0
5.674 0.000 0.000
0.000 5.674 0.000
0.000 0.000 5.674
Hg Bi Mo
3 1 1
direct
0.000 0.000 0.500 Hg
0.000 0.500 0.000 Hg
0.500 0.000 0.000 Hg
0.000 0.000 0.000 Bi
0.500 0.500 0.500 Mo
```

Results
Energy   -62.4310 eV/atom
Energy of formation from the pure elements   1.16 eV per atom
DOS at the Fermi energy   1.6 states/eV/f.u.
Space-group type   No. 221


Entry 7:
Entry from Alexandria via LeMat-Bulk: a crystal of NaHgBi2Mo relaxed with PBEsol (SCAN).

Geometry as POSCAR:
```
NaHgBi2Mo
1.0
5.305 0.000 0.000
0.000 5.305 0.000
0.000 0.000 5.438
Na Hg Bi Mo
1 1 2 1
direct
0.000 0.000 0.000 Na
0.500 0.500 0.000 Hg
0.000 0.500 0.500 Bi
0.500 0.000 0.500 Bi
0.500 0.500 0.500 Mo
```

Results
Energy   -52.6025 eV/atom
Energy of formation from the pure elements   0.28 eV per atom
DOS at the Fermi energy   2.8 states/eV/f.u.
Space-group type   No. 123


Entry 8:
Entry from Alexandria via LeMat-Bulk: a crystal of HgBiMo2Pd relaxed with PBEsol (SCAN).

Geometry as POSCAR:
```
HgBiMo2Pd
1.0
4.893 0.000 0.000
0.000 4.893 0.000
0.000 0.000 5.049
Hg Bi Mo Pd
1 1 2 1
direct
0.000 0.000 0.000 Hg
0.500 0.500 0.000 Bi
0.000 0.500 0.500 Mo
0.500 0.000 0.500 Mo
0.500 0.500 0.500 Pd
```

Results
Energy   -48.2977 eV/atom
Energy of formation from the pure elements   1.56 eV per atom
DOS at the Fermi energy   5.0 states/eV/f.u.
Space-group type   No. 123


Q: What is the formula in the second record?
A: Li2Hg2Bi